[1]
An optimized crystal structure of ZrIn2Ir, computed with GGA-PBE.

Structure (extended XYZ):
```
4
Lattice="4.219 0.000 0.000 0.000 4.219 0.000 0.000 0.000 4.421" Properties=species:S:1:pos:R:3 pbc="T T T"
Zr 0.000 0.000 0.000
In 0.000 2.109 2.211
In 2.109 0.000 2.211
Ir 2.109 2.109 0.000
```

Output
Final energy, Ry/atom: -0.43772
Space group: P4/mmm
Energy relative to the elements, eV per atom: -0.234
Crystal system: tetragonal
Theoretical density, Mg/m³: 10.827

---

[2]
An optimized crystal structure of CsRbSnCl4, computed with GGA-PBE.

Structure (extended XYZ):
```
7
Lattice="-2.796 2.796 8.574 2.796 -2.796 8.574 2.796 2.796 -8.574" Properties=species:S:1:pos:R:3 pbc="T T T"
Cs 0.000 0.000 0.000
Rb 0.000 0.000 12.313
Sn 0.000 0.000 6.128
Cl 0.000 0.000 3.380
Cl 2.796 0.000 6.036
Cl 0.000 0.000 9.053
Cl 0.000 2.796 6.036
```

Output
Final energy, Ry/atom: -0.25413
Space group: I4mm
Crystal system: tetragonal
Theoretical density, Mg/m³: 2.966

---

[3]
An optimized crystal structure of TaGa2Ir, computed with GGA-PBE.

Structure (extended XYZ):
```
8
Lattice="-3.557 3.557 2.701 3.557 -3.557 2.701 3.557 3.557 -2.701" Properties=species:S:1:pos:R:3 pbc="T T T"
Ta 0.000 0.000 0.000
Ta 0.000 3.557 1.351
Ga 1.779 -1.606 2.026
Ga 1.951 1.779 0.675
Ga 1.779 5.163 -0.675
Ga 1.606 1.779 3.377
Ir 3.557 0.000 1.351
Ir 0.000 0.000 2.701
```

Output
Final energy, Ry/atom: -0.48659
Space group: I-42d
Energy relative to the elements, eV per atom: 0.071
Crystal system: tetragonal
Theoretical density, Mg/m³: 12.452

---

[4]
An optimized crystal structure of Sr2Pt3, computed with GGA-PBE.

Structure (extended XYZ):
```
5
Lattice="4.562 0.000 0.000 -2.281 3.951 0.000 0.000 0.000 8.595" Properties=species:S:1:pos:R:3 pbc="T T T"
Sr 0.000 2.634 1.910
Sr 2.281 1.317 6.685
Pt 0.000 0.000 4.298
Pt 0.000 2.634 4.787
Pt 2.281 1.317 3.808
```

Output
Final energy, Ry/atom: -0.35777
Space group: P-3m1
Energy relative to the elements, eV per atom: -0.570
Crystal system: trigonal
Theoretical density, Mg/m³: 8.150

---

[5]
An optimized crystal structure of Sm2Ga3Cu, computed with GGA-PBE.

Structure (extended XYZ):
```
6
Lattice="3.741 0.000 0.000 0.000 4.418 0.000 0.000 0.000 7.648" Properties=species:S:1:pos:R:3 pbc="T T T"
Sm 0.000 0.000 0.000
Sm 0.000 2.209 3.784
Ga 1.871 0.000 5.001
Ga 1.871 2.209 1.319
Ga 1.871 2.209 6.369
Cu 1.871 0.000 2.502
```

Output
Final energy, Ry/atom: -0.31989
Space group: Pmm2
Energy relative to the elements, eV per atom: -0.583
E above lowest polymorph, eV per formula unit: 0.03
Crystal system: orthorhombic
Theoretical density, Mg/m³: 7.532

---

[6]
An optimized crystal structure of ReMo2Os, computed with GGA-PBE.

Structure (extended XYZ):
```
8
Lattice="-2.852 2.852 5.648 2.852 -2.852 5.648 2.852 2.852 -5.648" Properties=species:S:1:pos:R:3 pbc="T T T"
Re 0.000 0.000 0.000
Re 0.000 2.852 2.824
Mo 1.426 -1.408 4.236
Mo 1.443 1.426 1.412
Mo 1.426 4.260 -1.412
Mo 1.408 1.426 7.060
Os 2.852 0.000 2.824
Os 0.000 0.000 5.648
```

Output
Final energy, Ry/atom: -0.70904
Space group: I-42d
Energy relative to the elements, eV per atom: 1.688
Crystal system: tetragonal
Theoretical density, Mg/m³: 10.274

---

[7]
An optimized crystal structure of TlCdPbF6, computed with GGA-PBE.

Structure (extended XYZ):
```
18
Lattice="6.255 0.000 0.000 -3.127 5.417 0.000 0.000 0.000 9.655" Properties=species:S:1:pos:R:3 pbc="T T T"
Tl 0.000 0.000 0.000
Tl 0.000 0.000 4.828
Cd 0.000 3.611 2.414
Cd 3.127 1.806 7.242
Pb 0.000 3.611 7.242
Pb 3.127 1.806 2.414
F -0.962 1.895 1.262
F -1.967 3.636 3.566
F 0.962 1.895 3.566
F -1.005 5.302 1.262
F 2.122 0.115 6.090
F 1.160 1.780 8.393
F 1.967 3.636 1.262
F 1.005 5.302 3.566
F 4.133 0.115 8.393
F 2.166 3.522 6.090
F 5.095 1.780 6.090
F 4.089 3.522 8.393
```

Output
Final energy, Ry/atom: -0.29884
Space group: P-31c
Crystal system: trigonal
Theoretical density, Mg/m³: 6.477

---

[8]
An optimized crystal structure of FeIr2Cl2, computed with GGA-PBE.

Structure (extended XYZ):
```
10
Lattice="7.425 0.000 0.000 0.000 7.425 0.000 0.000 0.000 2.840" Properties=species:S:1:pos:R:3 pbc="T T T"
Fe 0.000 0.000 0.000
Fe 3.712 3.712 0.000
Ir 1.418 2.294 1.420
Ir 2.294 6.006 1.420
Ir 5.130 1.418 1.420
Ir 6.006 5.130 1.420
Cl 0.987 4.699 0.000
Cl 2.725 0.987 0.000
Cl 4.699 6.437 0.000
Cl 6.437 2.725 0.000
```

Output
Final energy, Ry/atom: -0.33183
Space group: P4/mbm
E above lowest polymorph, eV per formula unit: 3.77
Crystal system: tetragonal
Theoretical density, Mg/m³: 10.844